## NbZnTe2 (PBE-GGA)

Data for a relaxed structure of NbZnTe2.

Cell and atoms, written as POSCAR:
```
NbZnTe2
1.0
2.098 0.000 10.400
-1.049 1.817 10.400
-1.049 -1.817 10.400
Nb Te Zn
1 2 1
Direct
0.500 0.500 0.500
0.893 0.893 0.893
0.107 0.107 0.107
0.000 0.000 0.000
```

## Properties
formation energy (no corrections) = -114.3 meV/atom
energy = -4.521 eV per atom
symmetry = R-3m



## NbZn2Te (PBE-GGA)

Data for a relaxed structure of NbZn2Te.

Cell and atoms, written as POSCAR:
```
NbZn2Te
1.0
7.679 0.000 0.000
0.000 7.679 0.000
3.839 3.839 2.744
Nb Te Zn
2 2 4
Direct
0.500 0.500 0.000
0.250 0.750 0.500
0.000 0.000 0.000
0.750 0.250 0.500
0.620 0.125 0.250
0.130 0.625 0.250
0.375 0.380 0.750
0.875 0.870 0.750
```

## Properties
formation energy (no corrections) = 354.6 meV/atom
energy = -3.585 eV per atom
symmetry = I-42d



## Nb2ZnTe (PBE-GGA)

Data for a relaxed structure of Nb2ZnTe.

Cell and atoms, written as POSCAR:
```
Nb2ZnTe
1.0
1.242 -3.295 3.101
-2.763 -0.919 3.680
-2.370 -4.045 0.202
Nb Te Zn
2 1 1
Direct
0.250 0.250 0.250
0.750 0.750 0.750
0.500 0.500 0.500
0.000 0.000 0.000
```

## Properties
formation energy (no corrections) = 150.4 meV/atom
energy = -5.988 eV per atom
energy relative to the lowest polymorph listed for this composition = 0 meV per atom
symmetry = Fm-3m



## Nb2ZnTe (PBE-GGA)

Data for a relaxed structure of Nb2ZnTe.

Cell and atoms, written as POSCAR:
```
Nb2ZnTe
1.0
-0.258 3.869 -1.032
-2.683 0.600 2.923
5.925 4.419 7.285
Nb Te Zn
4 2 2
Direct
0.609 0.125 0.250
0.141 0.625 0.250
0.375 0.391 0.750
0.875 0.859 0.750
0.000 0.000 0.000
0.750 0.250 0.500
0.500 0.500 0.000
0.250 0.750 0.500
```

## Properties
formation energy (no corrections) = 257.6 meV/atom
energy = -5.881 eV per atom
energy relative to the lowest polymorph listed for this composition = 107 meV per atom
symmetry = I-42d



## Nb6ZnTe8 (PBE-GGA)

Data for a relaxed structure of Nb6ZnTe8.

Cell and atoms, written as POSCAR:
```
Nb6ZnTe8
1.0
10.786 0.000 0.000
-5.393 9.341 0.000
0.000 0.000 3.655
Nb Zn Te
6 1 8
Direct
0.102 0.488 0.750
0.512 0.614 0.750
0.386 0.898 0.750
0.898 0.512 0.250
0.488 0.386 0.250
0.614 0.102 0.250
0.000 0.000 0.500
0.271 0.336 0.750
0.664 0.935 0.750
0.065 0.729 0.750
0.729 0.664 0.250
0.336 0.065 0.250
0.935 0.271 0.250
0.667 0.333 0.750
0.333 0.667 0.250
```

## Properties
formation energy (no corrections) = -392.6 meV/atom
energy = -6.181 eV per atom
symmetry = P-3



## NbZnTe2 (PBE-GGA)

Data for a relaxed structure of NbZnTe2.

Cell and atoms, written as POSCAR:
```
NbZnTe2
1.0
2.112 0.000 8.936
-1.056 1.829 8.936
-1.056 -1.829 8.936
Nb Te Zn
1 2 1
Direct
0.000 0.000 0.000
0.900 0.900 0.900
0.100 0.100 0.100
0.500 0.500 0.500
```

## Properties
formation energy (no corrections) = 518.4 meV/atom
energy = -3.888 eV per atom
symmetry = R-3m



## Zr2NbTe6 (PBE-GGA)

Data for a relaxed structure of Zr2NbTe6.

Cell and atoms, written as POSCAR:
```
Zr2NbTe6
1.0
-3.456 -1.512 -5.927
-2.618 -6.175 3.102
-7.814 4.671 2.703
Zr Nb Te
4 2 12
Direct
0.956 0.344 0.750
0.544 0.844 0.750
0.456 0.156 0.250
0.044 0.656 0.250
0.500 0.500 0.000
0.000 0.000 0.500
0.836 0.987 0.240
0.843 0.660 0.572
0.851 0.674 0.930
0.649 0.174 0.570
0.657 0.160 0.928
0.664 0.487 0.260
0.164 0.013 0.760
0.157 0.340 0.428
0.149 0.326 0.070
0.351 0.826 0.430
0.343 0.840 0.072
0.336 0.513 0.740
```

## Properties
formation energy (no corrections) = -566.2 meV/atom
energy = -5.679 eV per atom
energy relative to the lowest polymorph listed for this composition = 141 meV per atom
symmetry = P2_1/c



## ZrNbTe2 (PBE-GGA)

Data for a relaxed structure of ZrNbTe2.

Cell and atoms, written as POSCAR:
```
ZrNbTe2
1.0
4.901 4.591 7.316
7.460 2.674 5.985
6.683 5.743 4.580
Nb Te Zr
1 2 1
Direct
0.500 0.500 0.500
0.901 0.901 0.901
0.099 0.099 0.099
0.000 0.000 0.000
```

## Properties
formation energy (no corrections) = -100.4 meV/atom
energy = -6.326 eV per atom
energy relative to the lowest polymorph listed for this composition = 291 meV per atom
symmetry = R-3m



## ZrNbTe2 (PBE-GGA)

Data for a relaxed structure of ZrNbTe2.

Cell and atoms, written as POSCAR:
```
ZrNbTe2
1.0
0.000 3.501 3.501
3.501 0.000 3.501
3.501 3.501 0.000
Nb Te Zr
1 2 1
Direct
0.500 0.500 0.500
0.250 0.250 0.250
0.750 0.750 0.750
0.000 0.000 0.000
```

## Properties
formation energy (no corrections) = -383.6 meV/atom
energy = -6.609 eV per atom
energy relative to the lowest polymorph listed for this composition = 8 meV per atom
symmetry = Fm-3m



## Zr2NbTe4 (PBE-GGA)

Data for a relaxed structure of Zr2NbTe4.

Cell and atoms, written as POSCAR:
```
Zr2NbTe4
1.0
-0.055 -3.801 -0.275
6.809 0.078 -2.445
-1.253 1.370 7.717
Zr Nb Te
2 1 4
Direct
0.749 0.797 0.497
0.251 0.203 0.503
0.000 0.000 0.000
0.899 0.236 0.799
0.101 0.764 0.201
0.632 0.307 0.263
0.368 0.693 0.737
```

## Properties
formation energy (no corrections) = -696.3 meV/atom
energy = -6.372 eV per atom
symmetry = C2/m



## ZrNbTe3 (PBE-GGA)

Data for a relaxed structure of ZrNbTe3.

Cell and atoms, written as POSCAR:
```
ZrNbTe3
1.0
6.772 -0.066 -0.068
-0.724 9.064 1.117
-0.724 0.830 9.095
Zr Nb Te
4 4 12
Direct
0.185 0.196 0.345
0.315 0.655 0.804
0.815 0.804 0.655
0.685 0.345 0.196
0.750 0.955 0.045
0.250 0.045 0.955
0.750 0.212 0.788
0.250 0.788 0.212
0.486 0.045 0.228
0.014 0.772 0.955
0.514 0.955 0.772
0.986 0.228 0.045
0.042 0.108 0.644
0.458 0.356 0.892
0.958 0.892 0.356
0.542 0.644 0.108
0.544 0.318 0.485
0.956 0.515 0.682
0.456 0.682 0.515
0.044 0.485 0.318
```

## Properties
formation energy (no corrections) = -423.5 meV/atom
energy = -6.032 eV per atom
energy relative to the lowest polymorph listed for this composition = 225 meV per atom
symmetry = C2/c



## Zr12Nb5Te3 (PBE-GGA)

Data for a relaxed structure of Zr12Nb5Te3.

Cell and atoms, written as POSCAR:
```
Zr12Nb5Te3
1.0
-1.533 3.414 -13.522
6.402 -12.446 0.984
-12.615 -0.735 6.097
Te Nb Zr
12 20 48
Direct
0.750 0.375 0.125
0.875 0.750 0.125
0.375 0.750 0.625
0.250 0.125 0.375
0.875 0.125 0.250
0.375 0.625 0.250
0.625 0.375 0.750
0.125 0.875 0.750
0.750 0.875 0.625
0.625 0.250 0.375
0.125 0.250 0.875
0.250 0.625 0.875
0.125 0.375 0.250
0.000 0.500 0.000
0.000 0.000 0.000
0.375 0.250 0.125
0.500 0.000 0.500
0.500 0.500 0.000
0.125 0.750 0.375
0.750 0.125 0.875
0.750 0.625 0.375
0.375 0.125 0.750
0.625 0.875 0.250
0.500 0.500 0.500
0.500 0.000 0.000
0.000 0.000 0.500
0.250 0.375 0.625
0.250 0.875 0.125
0.000 0.500 0.500
0.875 0.250 0.625
0.625 0.750 0.875
0.875 0.625 0.750
0.715 0.130 0.048
0.333 0.548 0.418
0.952 0.370 0.285
0.548 0.215 0.130
0.585 0.715 0.667
0.952 0.582 0.167
0.333 0.785 0.415
0.082 0.915 0.130
0.582 0.952 0.667
0.715 0.585 0.167
0.785 0.452 0.370
0.833 0.918 0.048
0.130 0.715 0.548
0.370 0.418 0.085
0.085 0.918 0.370
0.415 0.130 0.582
0.085 0.167 0.215
0.452 0.667 0.082
0.833 0.915 0.285
0.130 0.415 0.082
0.370 0.952 0.785
0.582 0.630 0.415
0.918 0.833 0.548
0.785 0.333 0.915
0.418 0.370 0.585
0.082 0.167 0.452
0.215 0.667 0.085
0.167 0.085 0.715
0.630 0.048 0.215
0.870 0.585 0.918
0.548 0.333 0.918
0.585 0.870 0.418
0.915 0.833 0.785
0.915 0.082 0.630
0.870 0.285 0.452
0.167 0.082 0.952
0.630 0.582 0.915
0.418 0.048 0.333
0.285 0.415 0.833
0.215 0.548 0.630
0.918 0.085 0.870
0.667 0.215 0.585
0.452 0.785 0.870
0.048 0.418 0.833
0.415 0.285 0.333
0.048 0.630 0.715
0.667 0.452 0.582
0.285 0.870 0.952
```

## Properties
formation energy (no corrections) = 875.5 meV/atom
energy = -7.242 eV per atom
symmetry = Ia-3d



## ZrNbTe2 (PBE-GGA)

Data for a relaxed structure of ZrNbTe2.

Cell and atoms, written as POSCAR:
```
ZrNbTe2
1.0
-1.453 2.780 -2.011
-1.474 -4.750 -5.500
-4.646 0.753 7.849
Zr Nb Te
2 2 4
Direct
0.727 0.729 0.029
0.934 0.831 0.442
0.226 0.055 0.026
0.435 0.505 0.445
0.382 0.065 0.339
0.071 0.548 0.718
0.589 0.011 0.753
0.278 0.495 0.131
```

## Properties
formation energy (no corrections) = -391.4 meV/atom
energy = -6.617 eV per atom
energy relative to the lowest polymorph listed for this composition = 0 meV per atom
symmetry = C2/m



## Zr2NbTe5 (PBE-GGA)

Data for a relaxed structure of Zr2NbTe5.

Cell and atoms, written as POSCAR:
```
Zr2NbTe5
1.0
-1.378 2.680 -4.684
3.218 -6.777 -1.513
-11.618 -5.568 0.232
Zr Nb Te
4 2 10
Direct
0.827 0.654 0.470
0.827 0.654 0.030
0.173 0.346 0.530
0.173 0.346 0.970
0.816 0.632 0.750
0.184 0.368 0.250
0.965 0.931 0.880
0.965 0.931 0.620
0.339 0.678 0.405
0.339 0.678 0.095
0.745 0.490 0.250
0.255 0.510 0.750
0.661 0.322 0.595
0.661 0.322 0.905
0.035 0.069 0.120
0.035 0.069 0.380
```

## Properties
formation energy (no corrections) = -535.2 meV/atom
energy = -5.894 eV per atom
symmetry = Cmcm



## ZrNbTe3 (PBE-GGA)

Data for a relaxed structure of ZrNbTe3.

Cell and atoms, written as POSCAR:
```
ZrNbTe3
1.0
-4.479 2.158 -2.080
-1.877 -4.935 -1.079
-2.337 -0.172 4.853
Nb Te Zr
1 3 1
Direct
0.000 0.000 0.000
0.000 0.500 0.000
0.000 0.000 0.500
0.500 0.000 0.000
0.500 0.500 0.500
```

## Properties
formation energy (no corrections) = 440.0 meV/atom
energy = -5.169 eV per atom
energy relative to the lowest polymorph listed for this composition = 1089 meV per atom
symmetry = Pm-3m



## ZrNb2Te (PBE-GGA)

Data for a relaxed structure of ZrNb2Te.

Cell and atoms, written as POSCAR:
```
ZrNb2Te
1.0
-1.896 3.570 0.730
-2.452 -0.642 -3.233
-8.929 -3.368 4.832
Nb Te Zr
4 2 2
Direct
0.634 0.125 0.250
0.116 0.625 0.250
0.375 0.366 0.750
0.875 0.884 0.750
0.000 0.000 0.000
0.750 0.250 0.500
0.500 0.500 0.000
0.250 0.750 0.500
```

## Properties
formation energy (no corrections) = 210.9 meV/atom
energy = -7.746 eV per atom
symmetry = I-42d



## ZrNbTe (PBE-GGA)

Data for a relaxed structure of ZrNbTe.

Cell and atoms, written as POSCAR:
```
ZrNbTe
1.0
5.292 0.994 0.409
3.505 4.088 0.409
3.167 1.830 8.438
Nb Zr Te
2 2 2
Direct
0.007 0.007 0.237
0.746 0.746 0.070
0.623 0.623 0.420
0.130 0.130 0.888
0.307 0.307 0.503
0.446 0.446 0.804
```

## Properties
formation energy (no corrections) = -127.8 meV/atom
energy = -7.381 eV per atom
symmetry = C2/m



## ZrNbTe2 (PBE-GGA)

Data for a relaxed structure of ZrNbTe2.

Cell and atoms, written as POSCAR:
```
ZrNbTe2
1.0
-2.438 -1.145 4.281
-4.204 -0.946 -2.647
-0.911 -9.368 -0.038
Nb Te Zr
2 4 2
Direct
0.000 0.000 0.000
0.750 0.250 0.500
0.647 0.125 0.250
0.103 0.625 0.250
0.375 0.353 0.750
0.875 0.897 0.750
0.500 0.500 0.000
0.250 0.750 0.500
```

## Properties
formation energy (no corrections) = 149.5 meV/atom
energy = -6.076 eV per atom
energy relative to the lowest polymorph listed for this composition = 541 meV per atom
symmetry = I-42d



## ZrNbTe6 (PBE-GGA)

Data for a relaxed structure of ZrNbTe6.

Cell and atoms, written as POSCAR:
```
ZrNbTe6
1.0
6.186 -1.636 2.328
-1.966 6.825 -0.740
0.765 -0.818 7.348
Zr Nb Te
1 1 6
Direct
0.000 0.000 0.000
0.000 0.500 0.000
0.107 0.716 0.677
0.784 0.716 0.323
0.216 0.284 0.677
0.893 0.284 0.323
0.490 0.805 0.000
0.510 0.195 0.000
```

## Properties
formation energy (no corrections) = -296.5 meV/atom
energy = -4.980 eV per atom
symmetry = C2/m



## ZrNbTe3 (PBE-GGA)

Data for a relaxed structure of ZrNbTe3.

Cell and atoms, written as POSCAR:
```
ZrNbTe3
1.0
0.577 -3.650 -0.732
3.730 1.220 6.552
-8.594 -0.156 3.693
Zr Nb Te
2 2 6
Direct
0.907 0.010 0.886
0.590 0.536 0.727
0.605 0.888 0.405
0.892 0.658 0.209
0.889 0.231 0.629
0.193 0.825 0.644
0.098 0.041 0.238
0.304 0.720 0.970
0.399 0.505 0.376
0.608 0.314 0.985
```

## Properties
formation energy (no corrections) = -648.8 meV/atom
energy = -6.257 eV per atom
energy relative to the lowest polymorph listed for this composition = 0 meV per atom
symmetry = C2/m